Material: ScIn2WO8
Method: DFT, PBE+U
State: optimized geometry

abc: 6.871 7.036 6.458
angles: 90.00 90.00 90.00
Space group Cmmm (No. 65)
Asymmetric unit:
Sc 0.000 0.000 0.000
In 0.000 0.500 0.249
W 0.000 0.000 0.500
O 0.000 0.183 0.274
O 0.203 0.500 0.000
O 0.213 0.500 0.500

Output
The value obtained for the density of states at the Fermi level is 8.6 states/eV/f.u. The value obtained for the final energy is -6.854 eV/atom. Its volume is 13.01 Å³ per atom.

Material: ScInWO6
Method: DFT, PBE+U
State: optimized geometry

abc: 5.2996 5.2996 9.2143
angles: 90.00 90.00 120.00
Space group P-31c (No. 163)
Asymmetric unit:
Sc 0.3333 0.6667 0.2500
In 0.0000 0.0000 0.0000
W 0.3333 0.6667 0.7500
O 0.0228 0.3606 0.6339

Output
The value obtained for the density of states at the Fermi level is 0.0 states/eV/f.u. The value obtained for the final energy is -7.408 eV/atom. Its volume is 12.45 Å³ per atom.